[1]
InGaTe3, optimized geometry, DFT PBE; total DFT energy (no corrections) = -2.8998 eV per atom; energy above the most stable polymorph in this dataset = 9.91 kcal/mol of atoms; raw formation energy = 13.34 kJ per mole of atoms; DOS(E_F) = 0.736 states/eV per atom
1.0
-1.069 -0.242 5.347
-4.281 -3.234 -1.003
3.213 -4.390 0.444
Te Ga In
3 1 1
direct
0.000 0.500 0.000 Te
0.000 0.000 0.500 Te
0.500 0.000 0.000 Te
0.000 0.000 0.000 Ga
0.500 0.500 0.500 In

---

[2]
InGaTe3, optimized geometry, DFT PBE; total DFT energy (no corrections) = -3.3296 eV per atom; energy above the most stable polymorph in this dataset = 0.00 kcal/mol of atoms; raw formation energy = -28.13 kJ per mole of atoms
1.0
-6.208 0.668 4.234
-4.665 -2.216 -6.490
1.048 -10.883 2.962
In Ga Te
4 4 12
direct
0.426 0.243 0.494 In
0.574 0.757 0.506 In
0.074 0.743 0.006 In
0.926 0.257 0.994 In
0.571 0.539 0.857 Ga
0.429 0.461 0.143 Ga
0.929 0.039 0.643 Ga
0.071 0.961 0.357 Ga
0.582 0.050 0.678 Te
0.418 0.950 0.322 Te
0.918 0.550 0.822 Te
0.082 0.450 0.178 Te
0.383 0.549 0.659 Te
0.617 0.451 0.341 Te
0.117 0.049 0.841 Te
0.883 0.951 0.159 Te
0.039 0.245 0.476 Te
0.961 0.755 0.524 Te
0.461 0.745 0.024 Te
0.539 0.255 0.976 Te

---

[3]
In3GaTe4, optimized geometry, DFT PBE; total DFT energy (no corrections) = -3.2629 eV per atom; energy above the most stable polymorph in this dataset = 0.00 kcal/mol of atoms; raw formation energy = -27.67 kJ per mole of atoms; DOS(E_F) = 0.026 states/eV per atom
1.0
-5.457 -4.200 1.280
2.516 0.549 -6.514
5.264 -2.775 3.694
In Ga Te
3 1 4
direct
0.500 0.000 0.500 In
0.000 0.500 0.500 In
0.500 0.500 0.000 In
0.000 0.000 0.000 Ga
0.409 0.409 0.353 Te
0.056 0.056 0.647 Te
0.591 0.944 0.000 Te
0.944 0.591 0.000 Te

---

[4]
InGaTe3, optimized geometry, DFT PBE; total DFT energy (no corrections) = -3.2225 eV per atom; energy above the most stable polymorph in this dataset = 2.47 kcal/mol of atoms; raw formation energy = -17.80 kJ per mole of atoms; DOS(E_F) = 0.207 states/eV per atom
1.0
4.286 0.000 0.000
-2.143 7.088 0.302
0.000 -1.752 11.034
In Ga Te
2 2 6
direct
0.930 0.859 0.700 In
0.070 0.141 0.300 In
0.675 0.350 0.880 Ga
0.325 0.650 0.120 Ga
0.358 0.716 0.558 Te
0.642 0.284 0.442 Te
0.866 0.732 0.941 Te
0.134 0.268 0.059 Te
0.135 0.271 0.724 Te
0.865 0.729 0.276 Te

---

[5]
ThIn2GaTe4, optimized geometry, DFT PBE; total DFT energy (no corrections) = -4.1009 eV per atom; raw formation energy = -52.06 kJ per mole of atoms; DOS(E_F) = 0.422 states/eV per atom
1.0
-1.087 -3.450 2.536
-1.305 -4.441 -6.600
6.906 -3.681 -2.049
Th In Ga Te
1 2 1 4
direct
0.000 0.500 0.500 Th
0.000 0.000 0.000 In
0.500 0.000 0.500 In
0.500 0.500 0.000 Ga
0.000 0.741 0.738 Te
0.000 0.259 0.262 Te
0.500 0.732 0.261 Te
0.500 0.268 0.739 Te

---

[6]
TlInGaTe3, optimized geometry, DFT PBE; total DFT energy (no corrections) = -3.2091 eV per atom; raw formation energy = -27.31 kJ per mole of atoms; DOS(E_F) = 0.304 states/eV per atom
1.0
-0.853 2.539 3.689
-8.633 0.340 -2.229
0.849 -8.415 5.987
Tl In Ga Te
2 2 2 6
direct
0.250 0.217 0.241 Tl
0.750 0.783 0.759 Tl
0.250 0.668 0.110 In
0.750 0.332 0.890 In
0.250 0.086 0.619 Ga
0.750 0.914 0.381 Ga
0.750 0.910 0.124 Te
0.250 0.090 0.876 Te
0.250 0.789 0.458 Te
0.750 0.211 0.542 Te
0.750 0.466 0.180 Te
0.250 0.534 0.820 Te

---

> Which of these has the lowest total DFT energy (no corrections)?

ThIn2GaTe4

---

> Which value of raw formation energy does entry 2 give?

-28.13 kJ per mole of atoms

---

> Which of these has the lowest total DFT energy (no corrections)?

ThIn2GaTe4

---

> Among the records above, which one has the lowest raw formation energy?

ThIn2GaTe4